Below is a relaxed K2ZnTeF crystal, with properties calculated at the GGA-PBE level.

The space group is P4/mmm (No. 123) and the conventional cell measures 5.425, 5.425 and 5.224 Å, with angles of 90.00, 90.00 and 90.00 degrees. The inequivalent atoms are K at (0.000, 0.500, 0.000), Zn at (0.000, 0.000, 0.500), Te at (0.500, 0.500, 0.500) and F at (0.500, 0.500, 0.000).

The calculation puts the density of states at the Fermi level at 0.72 states/eV/cell. Its uncorrected formation energy is -891.2 meV per atom. The calculation puts the magnetic moment at 0.000 μB/f.u.